Here is an optimized crystal structure of Te2IO from Alexandria. Energies are from GGA-PBE.

Cell and atoms, written as CIF:
```
data_Te2IO
_symmetry_space_group_name_H-M 'P 1'
_symmetry_Int_Tables_number 1
_cell_length_a 5.107
_cell_length_b 5.107
_cell_length_c 5.107
_cell_angle_alpha 60.00
_cell_angle_beta 60.00
_cell_angle_gamma 60.00
loop_
_symmetry_equiv_pos_as_xyz
'x,y,z'
loop_
_atom_site_label
_atom_site_type_symbol
_atom_site_fract_x
_atom_site_fract_y
_atom_site_fract_z
I1 I 0.500 0.500 0.500
Te1 Te 0.250 0.250 0.250
Te2 Te 0.750 0.750 0.750
O1 O 0.000 0.000 0.000
```

The value obtained for the energy above the lowest structure with this stoichiometry is 1004 meV per atom. As for the space group: Fm-3m, No. 225. Its volume is 94.2 Å³/f.u. For the uncorrected formation energy, the calculation gives 0.8203 eV per atom. The total energy is -2.378 eV per atom. Its total moment is 0.00 μB per formula unit.